LiHoCoBi | PBE | optimized geometry

Results
ΔE_f	-0.31	eV/atom
D(E_F)	0.35	states/eV per atom

Unit cell a=4.669 b=4.669 c=4.669 alpha=60.00 beta=60.00 gamma=60.00
Atoms (fractional coordinates):
Li: 0.750 0.750 0.750
Co: 0.250 0.250 0.250
Bi: 0.500 0.500 0.500
Ho: 0.000 0.000 0.000